# 1
Hg2MoOs: relaxed, GGA-PBE.

a = 2.9538 Å, b = 4.9103 Å, c = 9.9202 Å
α = 90.00°, β = 90.00°, γ = 90.00°
Closest atoms and distances in Å follow each position.
Space group Cmmm (No. 65)
Symmetry-distinct sites (fractional):
1 Hg 0.0000 0.0000 0.2470 (multiplicity 4)  2 Os 2.86, 6 Hg 2.87-2.95, 2 Mo 2.91
2 Mo 0.0000 0.5000 0.5000 (multiplicity 2)  6 Mo 2.87-2.95, 4 Hg 2.91
3 Os 0.0000 0.5000 0.0000 (multiplicity 2)  4 Hg 2.86, 6 Os 2.87-2.95

* energy of formation from the pure elements: 899 meV per atom
* density of states at the Fermi level: 9.5 states/eV per cell

# 2
Hg2MoOs: relaxed, GGA-PBE.

a = 2.8962 Å, b = 4.9805 Å, c = 10.0283 Å
α = 90.00°, β = 90.00°, γ = 90.00°
Closest atoms and distances in Å follow each position.
Space group Immm (No. 71)
Symmetry-distinct sites (fractional):
1 Hg 0.0000 0.0000 0.2449 (multiplicity 4)  2 Os 2.85, 6 Hg 2.88-2.90, 2 Mo 2.94
2 Mo 0.0000 0.5000 0.0000 (multiplicity 2)  4 Os 2.88, 2 Mo 2.90, 4 Hg 2.94
3 Os 0.0000 0.5000 0.5000 (multiplicity 2)  4 Hg 2.85, 4 Mo 2.88, 2 Os 2.90

* energy of formation from the pure elements: 848 meV per atom
* density of states at the Fermi level: 7.8 states/eV per cell